Computed, not measured: crystalline CsAgGe2 at its relaxed geometry at the PBE-GGA level of DFT.

Calculated values
As for the total moment: 0.00 μB per formula unit. The calculation puts the formation energy from the elements at 0.120 eV per atom. The calculation puts the density of states at the Fermi level at 0.3680 states/eV/atom.

Structure (CIF):
```
data_CsAgGe2
_cell_length_a 3.710
_cell_length_b 3.710
_cell_length_c 8.017
_cell_angle_alpha 90.00
_cell_angle_beta 90.00
_cell_angle_gamma 90.00
_space_group_name_H-M_alt 'P 4/m m m'
_space_group_IT_number 123
_space_group_name_Hall '-P 4 2'
loop_
_atom_site_label
_atom_site_type_symbol
_atom_site_fract_x
_atom_site_fract_y
_atom_site_fract_z
_atom_site_occupancy
Cs1 Cs 0.000 0.000 0.000 1
Ag1 Ag 0.000 0.000 0.500 1
Ge1 Ge 0.500 0.500 0.345 1
```


Computed, not measured: crystalline AsH3Au at its relaxed geometry at the PBE-GGA level of DFT.

Calculated values
As for the total moment: 0.00 μB per formula unit. The calculation puts the density of states at the Fermi level at 0.4826 states/eV/atom.

Structure (CIF):
```
data_AsH3Au
_cell_length_a 3.760
_cell_length_b 3.760
_cell_length_c 3.760
_cell_angle_alpha 90.00
_cell_angle_beta 90.00
_cell_angle_gamma 90.00
_space_group_name_H-M_alt 'P m -3 m'
_space_group_IT_number 221
_space_group_name_Hall '-P 4 2 3'
loop_
_atom_site_label
_atom_site_type_symbol
_atom_site_fract_x
_atom_site_fract_y
_atom_site_fract_z
_atom_site_occupancy
As1 As 0.000 0.000 0.000 1
H1 H 0.000 0.500 0.500 1
Au1 Au 0.500 0.500 0.500 1
```


Computed, not measured: crystalline TmZn4Ni2 at its relaxed geometry at the PBE-GGA level of DFT.

Calculated values
As for the total moment: 0.00 μB per formula unit. The calculation puts the formation energy from the elements at -0.284 eV per atom. The calculation puts the density of states at the Fermi level at 0.5126 states/eV/atom.

Structure (CIF):
```
data_TmZn4Ni2
_cell_length_a 3.890
_cell_length_b 14.519
_cell_length_c 3.877
_cell_angle_alpha 90.00
_cell_angle_beta 90.00
_cell_angle_gamma 90.00
_space_group_name_H-M_alt 'C m m m'
_space_group_IT_number 65
_space_group_name_Hall '-C 2 2'
loop_
_atom_site_label
_atom_site_type_symbol
_atom_site_fract_x
_atom_site_fract_y
_atom_site_fract_z
_atom_site_occupancy
Tm1 Tm 0.000 0.000 0.000 1
Zn1 Zn 0.000 0.183 0.500 1
Zn2 Zn 0.000 0.319 0.000 1
Ni1 Ni 0.000 0.421 0.500 1
```


Values of final energy, in order: -0.2290, -0.2070, -0.2427, all in Ry/atom.
Values of volume, in order: 110, 53, 219, all in Å³/cell.
Values of relative energy among the computed polymorphs, in order: 0.49, 0.20, 0.03, all in eV per formula unit.